No. 1
DFT (PBE-GGA) results for crystalline PtPb4Se at its relaxed geometry.

Output
uncorrected formation energy = 0.532 eV per atom
magnetization = 0.00 μB/atom
symmetry = No. 216

```
PtPb4Se
1.0
0.000 4.436 4.436
4.436 0.000 4.436
4.436 4.436 0.000
Pt Pb Se
1 4 1
direct
0.750 0.750 0.750
0.874 0.375 0.375
0.375 0.375 0.874
0.375 0.874 0.375
0.375 0.375 0.375
0.000 0.000 0.000
```

***

No. 2
DFT (PBE-GGA) results for crystalline CeSm2Eu at its relaxed geometry.

Output
excess energy over the best structure of this formula in the dataset = 67 meV/atom
magnetization = 2.11 μB/atom
ΔH_f (0 K) = 0.148 eV per atom
symmetry = No. 123

```
CeSm2Eu
1.0
-1.374 1.776 4.675
-0.610 -4.820 1.652
4.911 -0.112 1.486
Eu Ce Sm
1 1 2
direct
0.500 0.000 0.000
0.500 0.500 0.500
0.000 0.000 0.500
0.000 0.500 0.000
```

***

No. 3
DFT (PBE-GGA) results for crystalline LaSmCl4 at its relaxed geometry.

Output
uncorrected formation energy = -1.873 eV per atom
magnetization = 0.00 μB/atom
symmetry = No. 14

```
LaSmCl4
1.0
-0.078 -1.449 -6.125
-2.023 -7.355 1.765
-6.386 2.079 1.343
La Sm Cl
2 2 8
direct
0.500 0.000 0.500
0.000 0.500 0.500
0.000 0.000 0.000
0.500 0.500 0.000
0.903 0.677 0.129
0.597 0.177 0.871
0.359 0.351 0.350
0.141 0.851 0.650
0.097 0.323 0.871
0.403 0.823 0.129
0.641 0.649 0.650
0.859 0.149 0.350
```

***

No. 4
DFT (PBE-GGA) results for crystalline CaBi2W at its relaxed geometry.

Output
excess energy over the best structure of this formula in the dataset = 0 meV/atom
magnetization = 0.00 μB/atom
ΔH_f (0 K) = 0.395 eV per atom
symmetry = No. 225

```
CaBi2W
1.0
-2.553 -3.996 1.941
-3.826 0.772 3.319
-4.843 -0.882 -1.422
Ca Bi W
1 2 1
direct
0.000 0.000 0.000
0.250 0.250 0.250
0.750 0.750 0.750
0.500 0.500 0.500
```

***

No. 5
DFT (PBE-GGA) results for crystalline TiMnAlZn at its relaxed geometry.

Output
magnetization = 0.48 μB/atom
ΔH_f (0 K) = -0.137 eV per atom
symmetry = No. 216

```
TiMnAlZn
1.0
-2.241 -3.512 -1.277
1.868 -3.935 0.110
-1.295 -2.945 2.939
Zn Mn Al Ti
1 1 1 1
direct
0.500 0.500 0.500
0.750 0.750 0.750
0.000 0.000 0.000
0.250 0.250 0.250
```

***

No. 6
DFT (PBE-GGA) results for crystalline Al2VRh at its relaxed geometry.

Output
excess energy over the best structure of this formula in the dataset = 0 meV/atom
magnetization = 0.00 μB/atom
ΔH_f (0 K) = -0.606 eV per atom
symmetry = No. 123

```
Al2VRh
1.0
2.895 0.000 0.000
0.000 2.895 0.000
0.000 0.000 6.696
Rh Al V
1 2 1
direct
0.500 0.500 0.000
0.000 0.000 0.768
0.000 0.000 0.232
0.500 0.500 0.500
```

***

No. 7
DFT (PBE-GGA) results for crystalline ScZnCoSe2 at its relaxed geometry.

Output
uncorrected formation energy = 0.206 eV per atom
magnetization = 0.24 μB/atom
symmetry = No. 123

```
ScZnCoSe2
1.0
4.888 0.000 0.000
0.000 4.888 0.000
0.000 0.000 4.371
Sc Zn Co Se
1 1 1 2
direct
0.500 0.500 0.500
0.000 0.000 0.000
0.000 0.000 0.500
0.000 0.500 0.000
0.500 0.000 0.000
```

***

No. 8
DFT (PBE-GGA) results for crystalline TcAsS2Br at its relaxed geometry.

Output
uncorrected formation energy = 1.632 eV per atom
magnetization = 0.48 μB/atom
symmetry = No. 123

```
TcAsS2Br
1.0
-1.722 -1.787 4.254
4.329 -1.799 0.996
1.226 4.200 2.261
S As Tc Br
2 1 1 1
direct
0.000 0.000 0.500
0.500 0.000 0.000
0.500 0.500 0.500
0.000 0.500 0.000
0.000 0.000 0.000
```

***

No. 9
DFT (PBE-GGA) results for crystalline Na2ZrTlSe4 at its relaxed geometry.

Output
uncorrected formation energy = -0.974 eV per atom
magnetization = 0.00 μB/atom
symmetry = No. 10

```
Na2ZrTlSe4
1.0
3.979 0.000 0.000
0.000 9.929 1.041
0.000 4.558 5.773
Na Zr Tl Se
2 1 1 4
direct
0.000 0.000 0.000
0.500 0.000 0.500
0.000 0.500 0.500
0.500 0.500 0.000
0.000 0.732 0.571
0.000 0.268 0.429
0.500 0.285 0.857
0.500 0.715 0.143
```

***

No. 10
DFT (PBE-GGA) results for crystalline Sr2NiPN at its relaxed geometry.

Output
uncorrected formation energy = -0.669 eV per atom
magnetization = 0.01 μB/atom
symmetry = No. 123

```
Sr2NiPN
1.0
-1.603 4.999 -1.398
-4.829 -0.900 2.321
1.234 1.249 3.051
Sr N P Ni
2 1 1 1
direct
0.000 0.500 0.000
0.500 0.000 0.000
0.000 0.000 0.000
0.500 0.500 0.500
0.000 0.000 0.500
```

***

No. 11
DFT (PBE-GGA) results for crystalline CsRbV2As at its relaxed geometry.

Output
excess energy over the best structure of this formula in the dataset = 207 meV/atom
magnetization = 1.77 μB/atom
ΔH_f (0 K) = 2.048 eV per atom
symmetry = No. 123

```
CsRbV2As
1.0
-3.632 0.446 -4.237
-3.492 -4.628 2.507
-2.928 3.784 2.908
Cs As Rb V
1 1 1 2
direct
0.000 0.000 0.000
0.500 0.500 0.500
0.000 0.500 0.000
0.000 0.000 0.500
0.500 0.000 0.000
```

***

No. 12
DFT (PBE-GGA) results for crystalline ZnCd2Ga2 at its relaxed geometry.

Output
excess energy over the best structure of this formula in the dataset = 0 meV/atom
magnetization = 0.00 μB/atom
ΔH_f (0 K) = 0.045 eV per atom
symmetry = No. 166

```
ZnCd2Ga2
1.0
3.078 0.000 0.483
1.501 2.687 0.483
-0.302 -0.177 11.971
Zn Cd Ga
1 2 2
direct
0.000 0.000 0.000
0.870 0.870 0.390
0.130 0.130 0.610
0.393 0.393 0.821
0.607 0.607 0.179
```